(1)
# Ta2MnSi

Ta2MnSi after structural relaxation (PBEsol, the Alexandria database).

Values from the calculation:
E = -41.94 eV for the cell shown
space group = Amm2

```
Ta2MnSi
1.0
-2.4289 -1.2375 -1.6685
2.5087 -2.0901 -2.1018
0.8767 -2.9223 3.9524
Mn Ta Si
1 2 1
Direct
0.8354 0.0000 0.6709
0.1007 0.0000 0.2014
0.3964 0.5000 0.7928
0.6757 0.5000 0.3513
```

---

(2)
# Ta2MnSi

Ta2MnSi after structural relaxation (PBEsol, the Alexandria database).

Values from the calculation:
E = -40.65 eV for the cell shown
space group = P4/mmm

```
Ta2MnSi
1.0
-0.0426 -2.4992 1.2139
2.7652 0.0798 0.2614
-0.7489 3.3619 6.8954
Si Mn Ta
1 1 2
Direct
0.5000 0.5000 0.5000
0.5000 0.5000 0.0000
0.0000 0.0000 0.2509
0.0000 0.0000 0.7491
```

---

(3)
# TaMnSi

TaMnSi after structural relaxation (PBEsol, the Alexandria database).

Values from the calculation:
E = -179.24 eV for the cell shown
space group = Ima2

```
TaMnSi
1.0
-1.2727 -2.6512 -5.6116
3.8125 -3.9967 4.5999
-3.1172 -5.3144 3.2177
Mn Si Ta
6 6 6
Direct
0.7438 0.2464 0.4090
0.4973 0.7536 0.1554
0.7438 0.2464 0.8446
0.2525 0.0000 0.0000
0.4973 0.7536 0.5910
0.2525 0.0000 0.5000
0.8282 0.6654 0.1733
0.4793 0.9498 0.7751
0.8282 0.6654 0.6612
0.1627 0.3346 0.8267
0.5295 0.0502 0.2249
0.1627 0.3346 0.3388
0.9108 0.9965 0.7517
0.9143 0.0035 0.2483
0.4932 0.3945 0.5527
0.0541 0.5609 0.9696
0.4933 0.4391 0.0304
0.0986 0.6055 0.4473
```

---

(4)
# Tb2Mn3Si5

Tb2Mn3Si5 after structural relaxation (PBEsol, the Alexandria database).

Values from the calculation:
E = -299.92 eV for the cell shown
space group = P4/mnc

```
Tb2Mn3Si5
1.0
-0.9239 3.2722 -4.1645
-0.5600 -8.2812 -6.3826
-10.2995 -0.6631 1.7640
Si Mn Tb
20 12 8
Direct
0.2500 0.3258 0.1742
0.5000 0.0245 0.3151
0.7500 0.8258 0.3258
0.5000 0.3151 0.9755
0.7500 0.3258 0.1742
0.7500 0.1742 0.6742
0.2500 0.6742 0.8258
0.7500 0.6742 0.8258
0.0000 0.1849 0.4755
0.2500 0.1742 0.6742
0.0000 0.8151 0.5245
0.5000 0.9755 0.6849
0.7386 0.0000 0.0000
0.2500 0.8258 0.3258
0.0000 0.4755 0.8151
0.2386 0.5000 0.5000
0.7614 0.5000 0.5000
0.2614 0.0000 0.0000
0.5000 0.6849 0.0245
0.0000 0.5245 0.1849
0.5000 0.8787 0.1462
0.0000 0.6213 0.6462
0.5000 0.1462 0.1213
0.5000 0.1213 0.8538
0.0000 0.6462 0.3787
0.0000 0.3538 0.6213
0.2500 0.5000 0.0000
0.2500 0.0000 0.5000
0.0000 0.3787 0.3538
0.5000 0.8538 0.8787
0.7500 0.5000 0.0000
0.7500 0.0000 0.5000
0.5000 0.7361 0.5757
0.0000 0.7639 0.0757
0.0000 0.9243 0.7639
0.5000 0.4243 0.7361
0.0000 0.0757 0.2361
0.5000 0.2639 0.4243
0.0000 0.2361 0.9243
0.5000 0.5757 0.2639
```

---

(5)
# MnSiTc3

MnSiTc3 after structural relaxation (PBEsol, the Alexandria database).

Values from the calculation:
E = -44.07 eV for the cell shown
space group = Pm-3m

```
MnSiTc3
1.0
4.3361 0.0000 0.0000
0.0000 4.3361 0.0000
0.0000 0.0000 4.3361
Tc Mn Si
3 1 1
Direct
0.0000 0.5000 0.0000
0.5000 0.0000 0.0000
0.0000 0.0000 0.5000
0.5000 0.5000 0.5000
0.0000 0.0000 0.0000
```

---

(6)
# MnSiTc2

MnSiTc2 after structural relaxation (PBEsol, the Alexandria database).

Values from the calculation:
E = -38.67 eV for the cell shown
space group = Pmm2

```
MnSiTc2
1.0
2.7290 0.0000 0.0000
0.0000 3.8311 0.0000
0.0000 0.0000 4.8778
Si Mn Tc
1 1 2
Direct
0.5000 0.5000 0.7378
0.0000 0.0000 0.5256
0.5000 0.5000 0.2458
0.0000 0.0000 0.9909
```